1.
VASP calculation (GGA-PBEsol) on a relaxed Sr2TlBr5 crystal.

Lattice parameters (Å, degrees): 8.200 9.205 13.164 89.91 90.00 90.00
Atoms (fractional coordinates):
Tl: 0.534 0.507 0.828
Tl: 0.966 0.507 0.328
Tl: 0.466 0.493 0.172
Tl: 0.034 0.493 0.672
Sr: 0.074 0.749 0.993
Sr: 0.974 0.001 0.322
Sr: 0.926 0.251 0.007
Sr: 0.426 0.749 0.493
Sr: 0.026 0.999 0.678
Sr: 0.474 0.999 0.178
Sr: 0.526 0.001 0.822
Sr: 0.574 0.251 0.507
Br: 0.193 0.768 0.218
Br: 0.668 0.779 0.316
Br: 0.807 0.232 0.782
Br: 0.837 0.959 0.099
Br: 0.334 0.461 0.406
Br: 0.337 0.041 0.401
Br: 0.163 0.041 0.901
Br: 0.663 0.959 0.599
Br: 0.457 0.778 0.998
Br: 0.307 0.768 0.718
Br: 0.543 0.222 0.002
Br: 0.332 0.221 0.684
Br: 0.666 0.539 0.594
Br: 0.693 0.232 0.282
Br: 0.957 0.222 0.502
Br: 0.832 0.779 0.816
Br: 0.166 0.461 0.906
Br: 0.168 0.221 0.184
Br: 0.834 0.539 0.094
Br: 0.043 0.778 0.498

Values from the calculation:
- Energy relative to the elements, uncorrected: -1.7999 eV/atom


2.
VASP calculation (GGA-PBEsol) on a relaxed Y2MgS4 crystal.

Lattice parameters (Å, degrees): 3.748 6.454 12.710 90.00 90.00 106.88
Atoms (fractional coordinates):
S: 0.790 0.581 0.136
S: 0.514 0.027 0.994
S: 0.210 0.419 0.636
S: 0.037 0.074 0.268
S: 0.239 0.479 0.895
S: 0.761 0.521 0.395
S: 0.963 0.926 0.768
S: 0.486 0.973 0.494
Y: 0.861 0.723 0.583
Y: 0.139 0.277 0.083
Y: 0.619 0.238 0.785
Y: 0.381 0.762 0.285
Mg: 0.125 0.251 0.447
Mg: 0.875 0.749 0.947

Values from the calculation:
- Energy relative to the elements, uncorrected: -1.9357 eV/atom
- Polymorph energy (0 for the lowest one): 0.0000 eV/atom


3.
VASP calculation (GGA-PBEsol) on a relaxed CrCo2Rh crystal.

Lattice parameters (Å, degrees): 3.562 3.562 4.357 114.13 114.13 90.00
Each line ends with the local moment (μB).
Atoms (fractional coordinates):
Rh: 0.250 0.750 0.500  0.22
Co: 0.750 0.250 0.500  0.94
Co: 0.000 0.000 0.000  1.16
Cr: 0.500 0.500 0.000  -1.09

Values from the calculation:
- Energy of formation: 0.009 eV/atom


4.
VASP calculation (GGA-PBEsol) on a relaxed KHf2Zr crystal.

Lattice parameters (Å, degrees): 5.127 5.127 5.127 60.00 60.00 60.00
Atoms (fractional coordinates):
K: 0.000 0.000 0.000
Hf: 0.250 0.250 0.250
Hf: 0.750 0.750 0.750
Zr: 0.500 0.500 0.500

Values from the calculation:
- Energy of formation: 1.096 eV/atom


5.
VASP calculation (GGA-PBEsol) on a relaxed RbLaFeRe2 crystal.

Lattice parameters (Å, degrees): 4.552 4.552 5.342 90.00 90.00 90.00
Atoms (fractional coordinates):
Re: 0.500 0.000 0.000
Re: 0.000 0.500 0.000
La: 0.000 0.000 0.500
Rb: 0.500 0.500 0.500
Fe: 0.000 0.000 0.000

Values from the calculation:
- Energy of formation: 1.305 eV/atom


6.
VASP calculation (GGA-PBEsol) on a relaxed HgAu2Br crystal.

Lattice parameters (Å, degrees): 4.853 4.853 4.853 60.00 60.00 60.00
Atoms (fractional coordinates):
Au: 0.750 0.750 0.750
Au: 0.250 0.250 0.250
Br: 0.000 0.000 0.000
Hg: 0.500 0.500 0.500

Values from the calculation:
- Energy relative to the elements, uncorrected: 0.3830 eV/atom
- Polymorph energy (0 for the lowest one): 0.2790 eV/atom


7.
VASP calculation (GGA-PBEsol) on a relaxed TlTc3Cl crystal.

Lattice parameters (Å, degrees): 5.144 5.144 5.144 90.00 90.00 90.00
Each line ends with the local moment (μB).
Atoms (fractional coordinates):
Cl: 0.500 0.500 0.500  0.20
Tl: 0.000 0.000 0.000  -0.03
Tc: 0.000 0.000 0.500  3.03
Tc: 0.000 0.500 0.000  3.03
Tc: 0.500 0.000 0.000  3.03

Values from the calculation:
- Energy relative to the elements, uncorrected: 2.7397 eV/atom
- Polymorph energy (0 for the lowest one): 1.6716 eV/atom


8.
VASP calculation (GGA-PBEsol) on a relaxed LiFePO4 crystal.

Lattice parameters (Å, degrees): 5.203 5.203 12.804 90.00 90.00 120.00
Each line ends with the local moment (μB).
Atoms (fractional coordinates):
O: 0.402 0.183 0.099  0.06
O: 0.183 0.781 0.766  0.06
O: 0.817 0.598 0.901  0.06
O: 0.402 0.219 0.567  0.06
O: 0.219 0.402 0.433  0.06
O: 0.781 0.598 0.433  0.06
O: 0.219 0.817 0.234  0.06
O: 0.598 0.817 0.099  0.06
O: 0.817 0.219 0.766  0.06
O: 0.183 0.402 0.901  0.06
O: 0.598 0.781 0.567  0.06
O: 0.781 0.183 0.234  0.06
Fe: 0.000 0.500 0.333  3.50
Fe: 0.500 0.500 0.000  3.50
Fe: 0.500 0.000 0.667  3.50
Li: 0.000 0.000 0.167  0.00
Li: 0.000 0.000 0.500  0.00
Li: 0.000 0.000 0.833  0.00
P: 0.500 0.000 0.167  0.02
P: 0.000 0.500 0.833  0.02
P: 0.500 0.500 0.500  0.02

Values from the calculation:
- Energy relative to the elements, uncorrected: -1.8483 eV/atom
- Polymorph energy (0 for the lowest one): 0.0633 eV/atom